DFT (GGA-PBE) results for an optimized crystal structure of BaH4Br3.

Cell and atoms, written as CIF:
```
data_BaH4Br3
_cell_length_a 15.3973
_cell_length_b 4.5294
_cell_length_c 5.5486
_cell_angle_alpha 90.00
_cell_angle_beta 94.99
_cell_angle_gamma 90.00
_symmetry_space_group_name_H-M 'C 1 2/m 1'
_symmetry_Int_Tables_number 12
_symmetry_space_group_name_Hall '-C 2y'
loop_
_atom_site_label
_atom_site_fract_x
_atom_site_fract_y
_atom_site_fract_z
Ba1 0.0000 0.0000 0.0000
H1 0.1556 0.0000 0.4401
H2 0.1826 0.0000 0.3329
Br1 0.0000 0.5000 0.5000
Br2 0.1454 0.5000 0.9182
```

Output
**E_tot**: -3.271 eV/atom
**V**: 24.09 Å³ per atom
**Fermi-level density of states**: 0.3 states/eV/f.u.